A plane-wave DFT calculation with PBE with a Hubbard U was carried out for a relaxed structure of VMoF2.

extended XYZ file:
```
8
Lattice="-0.699 -3.456 -2.014 3.857 -1.125 0.592 -0.421 -5.704 5.840" Properties=species:S:1:pos:R:3 pbc="T T T"
F 0.872 -5.997 3.847
F 2.217 -2.565 1.576
F -0.059 -3.723 0.277
F 2.443 -8.285 3.134
V 1.579 -2.291 -0.711
V 2.507 -4.560 2.860
Mo 0.000 0.000 0.000
Mo 0.229 -5.725 1.557
```

Properties
- excess energy over the best structure of this formula in the dataset (meV/atom) = 865
- spin magnetization (μB/atom) = 1.2480